(1)
First-principles (GGA-PBE) data for a geometry-optimized TbCu2F6 structure, as listed in the Alexandria database.

abc: 3.9763 5.8914 6.2464
angles: 73.33 71.44 70.28
With the nearest neighbours (Å) after each atom.
Fractional positions:
Tb: 0.0000 0.5000 0.5000  8 F 2.23-2.38
Cu: 0.1808 0.7752 0.8632  4 F 1.98-2.07
Cu: 0.8192 0.2248 0.1368  4 F 1.98-2.07
F: 0.7423 0.6896 0.8258  2 Cu 2.07
F: 0.2577 0.3104 0.1742  2 Cu 2.07
F: 0.0015 0.8057 0.1912  1 Cu 1.98
F: 0.3740 0.7110 0.5411  1 Cu 2.01
F: 0.9985 0.1943 0.8088  1 Cu 1.98
F: 0.6260 0.2890 0.4589  1 Cu 2.01

Results
**Theoretical density**: 5193 kg/m³
**Total magnetization**: 1.0 μB per cell
**E**: -5.221 eV/atom
**SG**: C2/m, No. 12
**Energy relative to the elements, uncorrected**: -2.548 eV per atom
**N(E_F)**: 0.40 states/eV/atom



(2)
First-principles (GGA-PBE) data for a geometry-optimized Ac6NdTl2 structure, as listed in the Alexandria database.

abc: 6.6679 10.5481 10.5481
angles: 73.29 85.37 85.37
With the nearest neighbours (Å) after each atom.
Fractional positions:
Ac: 0.4900 0.6797 0.4359  3 Tl 3.45-3.68, 4 Ac 3.63-3.81
Ac: 0.0100 0.5641 0.3203  3 Tl 3.45-3.68, 4 Ac 3.63-3.81
Ac: 0.5100 0.3203 0.5641  3 Tl 3.45-3.68, 4 Ac 3.63-3.81
Ac: 0.9900 0.4359 0.6797  3 Tl 3.45-3.68, 4 Ac 3.63-3.81
Ac: 0.6715 0.0987 0.3571  3 Tl 3.52-3.73, 5 Ac 3.68-3.91, 1 Nd 3.85
Ac: 0.8285 0.6429 0.9013  3 Tl 3.52-3.73, 5 Ac 3.68-3.91, 1 Nd 3.85
Ac: 0.3285 0.9013 0.6429  3 Tl 3.52-3.73, 5 Ac 3.68-3.91, 1 Nd 3.85
Ac: 0.1715 0.3571 0.0987  3 Tl 3.52-3.73, 5 Ac 3.68-3.91, 1 Nd 3.85
Ac: 0.3132 0.7435 0.0248  2 Tl 3.52-3.79, 5 Ac 3.69-3.93, 2 Nd 3.69-3.71
Ac: 0.1868 0.9752 0.2565  2 Tl 3.52-3.79, 5 Ac 3.69-3.93, 2 Nd 3.69-3.71
Ac: 0.6868 0.2565 0.9752  2 Tl 3.52-3.79, 5 Ac 3.69-3.93, 2 Nd 3.69-3.71
Ac: 0.8132 0.0248 0.7435  2 Tl 3.52-3.79, 5 Ac 3.69-3.93, 2 Nd 3.69-3.71
Nd: 0.2500 0.1092 0.8908  10 Ac 3.69-4.08
Nd: 0.7500 0.8908 0.1092  10 Ac 3.69-4.08
Tl: 0.4120 0.5353 0.7851  8 Ac 3.45-3.79
Tl: 0.0880 0.2149 0.4647  8 Ac 3.45-3.79
Tl: 0.5880 0.4647 0.2149  8 Ac 3.45-3.79
Tl: 0.9120 0.7851 0.5353  8 Ac 3.45-3.79

Results
**Distance to the lowest polymorph of the same formula**: 60 meV per atom
**Theoretical density**: 8996 kg/m³
**Total magnetization**: 0.0 μB per cell
**E**: -3.874 eV/atom
**SG**: C2/c, No. 15
**Formation energy from the elements**: -0.0798 eV per atom
**N(E_F)**: 1.40 states/eV/atom